1.
Below is a geometry-optimized IrPtPb2 structure, with properties calculated at the PBE level.

Unit cell a=10.635 b=10.635 c=10.635 alpha=17.04 beta=17.04 gamma=17.04
Atoms (fractional coordinates):
1 Ir 0.757 0.757 0.757
2 Pb 0.020 0.020 0.020
3 Pb 0.232 0.232 0.232
4 Pt 0.491 0.491 0.491

Final energy = -5.193 eV per atom
Energy relative to the elements = 0.387 eV/atom
E above lowest polymorph = 292 meV per atom
Total moment = 0.00 μB/cell
Space group = R3m, No. 160

=====

2.
Below is a geometry-optimized IrPtPb2 structure, with properties calculated at the PBE level.

Unit cell a=3.264 b=3.264 c=8.418 alpha=90.00 beta=90.00 gamma=90.00
Atoms (fractional coordinates):
1 Ir 0.500 0.500 0.719
2 Pb 0.000 0.000 0.933
3 Pb 0.500 0.500 0.317
4 Pt 0.000 0.000 0.531

Final energy = -5.398 eV per atom
Energy relative to the elements = 0.181 eV/atom
E above lowest polymorph = 86 meV per atom
Total moment = 0.00 μB/cell
Space group = P4mm, No. 99

=====

3.
Below is a geometry-optimized IrPt2Pb structure, with properties calculated at the PBE level.

Unit cell a=4.839 b=4.839 c=3.171 alpha=90.00 beta=90.00 gamma=109.17
Atoms (fractional coordinates):
1 Ir 0.500 0.000 0.500
2 Pb 0.000 0.500 0.500
3 Pt 0.000 0.000 0.000
4 Pt 0.500 0.500 0.000

Final energy = -5.958 eV per atom
Energy relative to the elements = 0.205 eV/atom
Total moment = 0.00 μB/cell
Space group = Cmmm, No. 65

=====

4.
Below is a geometry-optimized IrPtPb structure, with properties calculated at the PBE level.

Unit cell a=5.766 b=5.766 c=5.766 alpha=150.50 beta=142.84 gamma=48.14
Atoms (fractional coordinates):
1 Ir 0.016 0.016 0.000
2 Pb 0.337 0.337 0.000
3 Pt 0.648 0.648 0.000

Final energy = -5.777 eV per atom
Energy relative to the elements = 0.427 eV/atom
E above lowest polymorph = 140 meV per atom
Total moment = 0.00 μB/cell
Space group = Imm2, No. 44

=====

5.
Below is a geometry-optimized IrPtPb2 structure, with properties calculated at the PBE level.

Unit cell a=4.748 b=4.748 c=5.645 alpha=78.27 beta=78.27 gamma=42.10
Atoms (fractional coordinates):
1 Ir 0.250 0.250 0.250
2 Pb 0.998 0.998 0.005
3 Pb 0.502 0.502 0.495
4 Pt 0.750 0.750 0.750

Final energy = -5.203 eV per atom
Energy relative to the elements = 0.377 eV/atom
E above lowest polymorph = 282 meV per atom
Total moment = 0.00 μB/cell
Space group = C2/m, No. 12

=====

6.
Below is a geometry-optimized IrPt2Pb structure, with properties calculated at the PBE level.

Unit cell a=4.721 b=2.968 c=5.022 alpha=89.99 beta=90.00 gamma=90.00
Atoms (fractional coordinates):
1 Ir 0.000 0.625 0.419
2 Pb 0.500 0.625 0.805
3 Pt 0.000 0.125 0.956
4 Pt 0.500 0.125 0.320

Final energy = -5.938 eV per atom
Energy relative to the elements = 0.225 eV/atom
Total moment = 0.00 μB/cell
Space group = Pmm2, No. 25

=====

7.
Below is a geometry-optimized IrPt2Pb2 structure, with properties calculated at the PBE level.

Unit cell a=6.992 b=6.992 c=4.260 alpha=90.00 beta=90.00 gamma=90.00
Atoms (fractional coordinates):
1 Pb 0.176 0.676 0.500
2 Pb 0.676 0.824 0.500
3 Pb 0.824 0.324 0.500
4 Pb 0.324 0.176 0.500
5 Ir 0.000 0.000 0.000
6 Ir 0.500 0.500 0.000
7 Pt 0.364 0.864 0.000
8 Pt 0.864 0.636 0.000
9 Pt 0.636 0.136 0.000
10 Pt 0.136 0.364 0.000

Final energy = -5.428 eV per atom
Energy relative to the elements = 0.244 eV/atom
Total moment = 0.00 μB/cell
Space group = P4/mbm, No. 127

=====

8.
Below is a geometry-optimized IrPt2Pb structure, with properties calculated at the PBE level.

Unit cell a=4.804 b=4.804 c=4.699 alpha=78.67 beta=78.67 gamma=42.73
Atoms (fractional coordinates):
1 Ir 0.750 0.750 0.750
2 Pb 0.250 0.250 0.250
3 Pt 0.011 0.011 0.969
4 Pt 0.489 0.489 0.531

Final energy = -5.912 eV per atom
Energy relative to the elements = 0.251 eV/atom
Total moment = 0.00 μB/cell
Space group = C2/m, No. 12

=====

9.
Below is a geometry-optimized IrPtPb2 structure, with properties calculated at the PBE level.

Unit cell a=9.100 b=9.100 c=9.100 alpha=20.78 beta=20.78 gamma=20.78
Atoms (fractional coordinates):
1 Ir 0.750 0.750 0.750
2 Pb 0.002 0.002 0.002
3 Pb 0.498 0.498 0.498
4 Pt 0.250 0.250 0.250

Final energy = -5.203 eV per atom
Energy relative to the elements = 0.376 eV/atom
E above lowest polymorph = 281 meV per atom
Total moment = 0.00 μB/cell
Space group = R-3m, No. 166

=====

10.
Below is a geometry-optimized IrPtPb structure, with properties calculated at the PBE level.

Unit cell a=4.464 b=4.464 c=4.464 alpha=60.00 beta=60.00 gamma=60.00
Atoms (fractional coordinates):
1 Ir 0.750 0.750 0.750
2 Pb 0.000 0.000 0.000
3 Pt 0.500 0.500 0.500

Final energy = -5.916 eV per atom
Energy relative to the elements = 0.287 eV/atom
E above lowest polymorph = 0 meV per atom
Total moment = 0.00 μB/cell
Space group = F-43m, No. 216

=====

11.
Below is a geometry-optimized IrPtPb2 structure, with properties calculated at the PBE level.

Unit cell a=6.290 b=6.290 c=6.290 alpha=152.02 beta=132.85 gamma=55.72
Atoms (fractional coordinates):
1 Ir 0.269 0.769 0.500
2 Pb 0.032 0.032 0.000
3 Pb 0.727 0.227 0.500
4 Pt 0.473 0.473 0.000

Final energy = -5.303 eV per atom
Energy relative to the elements = 0.277 eV/atom
E above lowest polymorph = 182 meV per atom
Total moment = 0.00 μB/cell
Space group = Imm2, No. 44

=====

12.
Below is a geometry-optimized Ir2Pt2Pb structure, with properties calculated at the PBE level.

Unit cell a=7.081 b=7.081 c=3.549 alpha=90.00 beta=90.00 gamma=90.00
Atoms (fractional coordinates):
1 Pb 0.000 0.000 0.000
2 Pb 0.500 0.500 0.000
3 Ir 0.371 0.871 0.000
4 Ir 0.871 0.629 0.000
5 Ir 0.629 0.129 0.000
6 Ir 0.129 0.371 0.000
7 Pt 0.162 0.662 0.500
8 Pt 0.662 0.838 0.500
9 Pt 0.838 0.338 0.500
10 Pt 0.338 0.162 0.500

Final energy = -6.388 eV per atom
Energy relative to the elements = 0.315 eV/atom
Total moment = 0.00 μB/cell
Space group = P4/mbm, No. 127